Record 1
Material: AcZn9Pd2
Method: DFT, PBE-GGA
State: optimized geometry

Unit cell a=3.7067 b=8.3546 c=8.3546 alpha=120.00 beta=90.00 gamma=90.00
Fractional coordinates of all 12 atoms:
Zn1 0.5000 0.1993 0.3986
Zn2 0.5000 0.8007 0.1993
Zn3 0.5000 0.8007 0.6014
Zn4 0.5000 0.1993 0.8007
Zn5 0.5000 0.3986 0.1993
Zn6 0.0000 0.5000 0.0000
Zn7 0.0000 0.0000 0.5000
Zn8 0.5000 0.6014 0.8007
Zn9 0.0000 0.5000 0.5000
Pd1 0.0000 0.6667 0.3333
Pd2 0.0000 0.3333 0.6667
Ac1 0.0000 0.0000 0.0000

Summary:
**Calculated formation energy**: -0.240 eV/atom
**Energy above the most stable polymorph in this dataset**: 0.141 eV/atom



Record 2
Material: Tb6ErIn6
Method: DFT, PBE-GGA
State: optimized geometry

Unit cell a=6.2901 b=6.2901 c=10.7472 alpha=90.00 beta=90.00 gamma=119.99
Each line ends with the local moment (μB).
Fractional coordinates of all 13 atoms:
In1 0.5000 0.5000 0.7537  0.00
In2 0.5000 0.0000 0.7537  0.00
In3 0.0000 0.5000 0.7537  0.00
In4 0.0000 0.5000 0.2463  0.00
In5 0.5000 0.0000 0.2463  0.00
In6 0.5000 0.5000 0.2463  0.00
Er1 0.0000 0.0000 0.0000  0.09
Tb1 0.0000 0.0000 0.6649  0.12
Tb2 0.3333 0.6667 0.5000  0.03
Tb3 0.6667 0.3333 0.5000  0.03
Tb4 0.3333 0.6667 0.0000  0.02
Tb5 0.6667 0.3333 0.0000  0.02
Tb6 0.0000 0.0000 0.3351  0.12

Summary:
**Calculated formation energy**: -0.311 eV/atom



Record 3
Material: LaCoMo2
Method: DFT, PBE-GGA
State: optimized geometry

Unit cell a=5.3216 b=5.3216 c=4.8854 alpha=79.01 beta=79.01 gamma=33.17
Each line ends with the local moment (μB).
Fractional coordinates of all 4 atoms:
Mo1 0.4619 0.4619 0.5763  0.03
Mo2 0.0381 0.0381 0.9237  0.03
La1 0.2500 0.2500 0.2500  -0.03
Co1 0.7500 0.7500 0.7500  0.69

Summary:
**Calculated formation energy**: 0.440 eV/atom
**Energy above the most stable polymorph in this dataset**: 0.122 eV/atom



Record 4
Material: CeThGe2
Method: DFT, PBE-GGA
State: optimized geometry

Unit cell a=6.0402 b=6.0402 c=7.3932 alpha=114.11 beta=114.11 gamma=90.00
Fractional coordinates of all 8 atoms:
Th1 0.5000 0.5000 0.0000
Th2 0.2500 0.7500 0.5000
Ge1 0.2467 0.2467 0.4935
Ge2 0.5033 0.0033 0.0065
Ge3 0.7533 0.7533 0.5065
Ge4 0.9967 0.4967 0.9935
Ce1 0.0000 0.0000 0.0000
Ce2 0.7500 0.2500 0.5000

Summary:
**Calculated formation energy**: -0.709 eV/atom



Record 5
Material: SrYHRh2
Method: DFT, PBE-GGA
State: optimized geometry

Unit cell a=4.8306 b=6.9767 c=4.8306 alpha=90.00 beta=90.00 gamma=90.00
Fractional coordinates of all 5 atoms:
Rh1 0.0000 0.0000 0.5000
Rh2 0.5000 0.0000 0.0000
H1 0.5000 0.5000 0.5000
Y1 0.0000 0.0000 0.0000
Sr1 0.0000 0.5000 0.0000



Record 6
Material: IrOF2
Method: DFT, PBE-GGA
State: optimized geometry

Unit cell a=8.4393 b=8.4393 c=8.4393 alpha=18.18 beta=18.18 gamma=18.18
Each line ends with the local moment (μB).
Fractional coordinates of all 4 atoms:
F1 0.9054 0.9054 0.9054  0.05
F2 0.0946 0.0946 0.0946  0.05
Ir1 0.5000 0.5000 0.5000  -0.02
O1 0.0000 0.0000 0.0000  1.69

Summary:
**Energy above the most stable polymorph in this dataset**: 1.397 eV/atom



Number 1: N(E_F) 3.8 states/eV per cell, total DFT energy (no corrections) -2.40 eV per atom. Number 2: N(E_F) 16.7 states/eV per cell, total DFT energy (no corrections) -4.06 eV per atom. Number 3: N(E_F) 4.9 states/eV per cell, total DFT energy (no corrections) -7.98 eV per atom. Number 4: N(E_F) 3.8 states/eV per cell, total DFT energy (no corrections) -6.36 eV per atom. Number 5: N(E_F) 0.9 states/eV per cell, total DFT energy (no corrections) -4.23 eV per atom. Number 6: N(E_F) 5.7 states/eV per cell, total DFT energy (no corrections) -3.84 eV per atom.